Entry 1:
{
  "formula": "LiAgOs2",
  "functional": "PBE",
  "state": "relaxed",
  "magnetic_moment_mub_per_atom": 0.000,
  "relative_energy_kj_per_mol_atoms": 12.5,
  "delta_e_f_ev_per_atom": 0.369,
  "cell": [[5.363, 0.072, -0.054], [4.651, 2.671, -0.054], [0.537, 0.147, 4.364]],
  "species": ["Li", "Ag", "Os", "Os"],
  "fractional_positions": [[0.250, 0.250, 0.250], [0.750, 0.750, 0.750], [0.473, 0.473, 0.503], [0.027, 0.027, 0.997]]
}

Entry 2:
{
  "formula": "LiAgOs4",
  "functional": "PBE",
  "state": "relaxed",
  "magnetic_moment_mub_per_atom": 0.000,
  "delta_e_f_ev_per_atom": 0.723,
  "cell": [[-5.133, 0.085, 0.635], [-3.121, -0.750, -4.057], [-2.727, -4.379, -0.391]],
  "species": ["Os", "Os", "Os", "Ag", "Os", "Li"],
  "fractional_positions": [[0.875, 0.375, 0.375], [0.375, 0.375, 0.875], [0.375, 0.875, 0.375], [0.750, 0.750, 0.750], [0.375, 0.375, 0.375], [0.000, 0.000, 0.000]]
}

Entry 3:
{
  "formula": "LiAgOs2",
  "functional": "PBE",
  "state": "relaxed",
  "magnetic_moment_mub_per_atom": 0.000,
  "relative_energy_kj_per_mol_atoms": 18.2,
  "delta_e_f_ev_per_atom": 0.428,
  "cell": [[9.763, 0.007, 0.004], [9.393, 2.661, 0.004], [9.393, 1.308, 2.317]],
  "species": ["Os", "Li", "Ag", "Os"],
  "fractional_positions": [[0.496, 0.496, 0.496], [0.750, 0.750, 0.750], [0.250, 0.250, 0.250], [0.004, 0.004, 0.004]]
}

Entry 4:
{
  "formula": "LiAgOs2",
  "functional": "PBE",
  "state": "relaxed",
  "magnetic_moment_mub_per_atom": 0.000,
  "relative_energy_kj_per_mol_atoms": 45.9,
  "delta_e_f_ev_per_atom": 0.715,
  "cell": [[-2.934, 2.143, 0.030], [-1.882, -2.601, 1.700], [0.354, 3.433, 9.522]],
  "species": ["Li", "Os", "Ag", "Os", "Li", "Os", "Ag", "Os"],
  "fractional_positions": [[0.250, 0.750, 0.500], [0.162, 0.625, 0.250], [0.750, 0.250, 0.500], [0.588, 0.125, 0.250], [0.500, 0.500, 0.000], [0.375, 0.412, 0.750], [0.000, 0.000, 0.000], [0.875, 0.838, 0.750]]
}

Entry 5:
{
  "formula": "Li3AgOs",
  "functional": "PBE",
  "state": "relaxed",
  "magnetic_moment_mub_per_atom": 0.304,
  "relative_energy_kj_per_mol_atoms": 0.0,
  "delta_e_f_ev_per_atom": 1.041,
  "cell": [[4.763, 0.000, 0.000], [0.000, 4.763, 0.000], [0.000, 0.000, 4.763]],
  "species": ["Os", "Ag", "Li", "Li", "Li"],
  "fractional_positions": [[0.000, 0.000, 0.000], [0.500, 0.500, 0.500], [0.500, 0.000, 0.000], [0.000, 0.000, 0.500], [0.000, 0.500, 0.000]]
}

Entry 6:
{
  "formula": "LiAgOs2",
  "functional": "PBE",
  "state": "relaxed",
  "magnetic_moment_mub_per_atom": 0.000,
  "relative_energy_kj_per_mol_atoms": 0.0,
  "delta_e_f_ev_per_atom": 0.240,
  "cell": [[-2.143, 1.460, 0.835], [-2.138, -1.450, -2.951], [-1.639, -4.291, 3.296]],
  "species": ["Os", "Li", "Ag", "Os"],
  "fractional_positions": [[0.500, 0.500, 0.202], [0.500, 0.500, 0.735], [0.000, 0.000, 0.531], [0.000, 0.000, 0.032]]
}

Here are the calculated electronic total energy numbers, same order: -0.473, -0.556, -0.469, -0.448, -0.215, -0.483 (Ry per atom).
Here are the calculated DOS(E_F) numbers, same order: 0.31, 0.87, 0.09, 0.63, 1.37, 0.56 (states/eV per atom).